1.
Here is an optimized crystal structure of La8Dy2Tm3 from Alexandria via LeMat-Bulk. Energies are from PBE.

Results
**ρ**: 7.09 g/cm³
**V**: 454.99 Å³ per cell
**Space-group type**: C2/m
**Density of states at the Fermi level**: 1.590 states/eV per atom
**Calculated total energy**: -4.632 eV/atom

The structure in CIF format:
```
data_La8Dy2Tm3
_chemical_formula_sum 'La8 Dy2 Tm3'
_space_group_name_H-M_alt 'P 1'
_space_group_IT_number 1
_space_group_name_Hall 'P 1'
_cell_length_a 9.015
_cell_length_b 9.015
_cell_length_c 6.140
_cell_angle_alpha 107.09
_cell_angle_beta 107.09
_cell_angle_gamma 81.65
loop_
_atom_site_label
_atom_site_fract_x
_atom_site_fract_y
_atom_site_fract_z
La1 0.086 0.086 0.237
La2 0.102 0.577 0.853
La3 0.362 0.362 0.383
La4 0.423 0.898 0.147
La5 0.577 0.102 0.853
La6 0.638 0.638 0.617
La7 0.898 0.423 0.147
La8 0.914 0.914 0.763
Dy1 0.185 0.185 0.818
Dy2 0.815 0.815 0.182
Tm1 0.228 0.772 0.500
Tm2 0.500 0.500 0.000
Tm3 0.772 0.228 0.500
```



2.
Here is an optimized crystal structure of Sr3Zn6Pd5 from Alexandria via LeMat-Bulk. Energies are from PBE.

Results
**ρ**: 7.05 g/cm³
**V**: 559.33 Å³ per cell
**Space-group type**: Pmmn
**Density of states at the Fermi level**: 0.489 states/eV per atom
**Calculated total energy**: -3.280 eV/atom

The structure in CIF format:
```
data_Sr3Zn6Pd5
_chemical_formula_sum 'Sr6 Zn12 Pd10'
_space_group_name_H-M_alt 'P 1'
_space_group_IT_number 1
_space_group_name_Hall 'P 1'
_cell_length_a 4.423
_cell_length_b 12.916
_cell_length_c 9.791
_cell_angle_alpha 90.00
_cell_angle_beta 90.00
_cell_angle_gamma 90.00
loop_
_atom_site_label
_atom_site_fract_x
_atom_site_fract_y
_atom_site_fract_z
Sr1 0.250 0.064 0.249
Sr2 0.250 0.436 0.249
Sr3 0.250 0.750 0.257
Sr4 0.750 0.250 0.743
Sr5 0.750 0.564 0.751
Sr6 0.750 0.936 0.751
Zn1 0.250 0.066 0.587
Zn2 0.250 0.250 0.024
Zn3 0.250 0.250 0.462
Zn4 0.250 0.434 0.587
Zn5 0.250 0.602 0.986
Zn6 0.250 0.898 0.986
Zn7 0.750 0.102 0.014
Zn8 0.750 0.398 0.014
Zn9 0.750 0.566 0.413
Zn10 0.750 0.750 0.538
Zn11 0.750 0.750 0.976
Zn12 0.750 0.934 0.413
Pd1 0.250 0.086 0.870
Pd2 0.250 0.414 0.870
Pd3 0.250 0.638 0.538
Pd4 0.250 0.750 0.801
Pd5 0.250 0.862 0.538
Pd6 0.750 0.138 0.462
Pd7 0.750 0.250 0.199
Pd8 0.750 0.362 0.462
Pd9 0.750 0.586 0.130
Pd10 0.750 0.914 0.130
```



3.
Here is an optimized crystal structure of Mg6Cu2Ir from Alexandria via LeMat-Bulk. Energies are from PBE.

Results
**ρ**: 4.92 g/cm³
**V**: 157.01 Å³ per cell
**Space-group type**: P-3m1
**Density of states at the Fermi level**: 0.356 states/eV per atom
**Calculated total energy**: -3.056 eV/atom

The structure in CIF format:
```
data_Mg6Cu2Ir
_chemical_formula_sum 'Mg6 Cu2 Ir1'
_space_group_name_H-M_alt 'P 1'
_space_group_IT_number 1
_space_group_name_Hall 'P 1'
_cell_length_a 4.596
_cell_length_b 4.596
_cell_length_c 8.582
_cell_angle_alpha 90.00
_cell_angle_beta 90.00
_cell_angle_gamma 120.00
loop_
_atom_site_label
_atom_site_fract_x
_atom_site_fract_y
_atom_site_fract_z
Mg1 0.000 0.000 0.197
Mg2 0.000 0.000 0.803
Mg3 0.333 0.667 0.050
Mg4 0.333 0.667 0.410
Mg5 0.667 0.333 0.590
Mg6 0.667 0.333 0.950
Cu1 0.333 0.667 0.725
Cu2 0.667 0.333 0.275
Ir1 0.000 0.000 0.500
```



4.
Here is an optimized crystal structure of AlBiRh from Alexandria via LeMat-Bulk. Energies are from PBE.

Results
**ρ**: 8.96 g/cm³
**V**: 125.67 Å³ per cell
**Space-group type**: P1
**Density of states at the Fermi level**: 0.402 states/eV per atom
**Calculated total energy**: -5.453 eV/atom

The structure in CIF format:
```
data_AlBiRh
_chemical_formula_sum 'Al2 Bi2 Rh2'
_space_group_name_H-M_alt 'P 1'
_space_group_IT_number 1
_space_group_name_Hall 'P 1'
_cell_length_a 3.083
_cell_length_b 3.085
_cell_length_c 13.381
_cell_angle_alpha 96.52
_cell_angle_beta 96.30
_cell_angle_gamma 90.00
loop_
_atom_site_label
_atom_site_fract_x
_atom_site_fract_y
_atom_site_fract_z
Al1 0.000 0.000 0.000
Al2 0.108 0.112 0.228
Bi1 0.210 0.218 0.444
Bi2 0.868 0.363 0.721
Rh1 0.452 0.450 0.899
Rh2 0.558 0.560 0.122
```



5.
Here is an optimized crystal structure of LaCe2NdSb4 from Alexandria via LeMat-Bulk. Energies are from PBE.

Results
**ρ**: 6.59 g/cm³
**V**: 264.51 Å³ per cell
**Space-group type**: P2/m
**Density of states at the Fermi level**: 1.652 states/eV per atom
**Formation energy without anion corrections**: -1139.5 meV per atom
**Calculated total energy**: -5.896 eV/atom

The structure in CIF format:
```
data_LaCe2NdSb4
_chemical_formula_sum 'La1 Ce2 Nd1 Sb4'
_space_group_name_H-M_alt 'P 1'
_space_group_IT_number 1
_space_group_name_Hall 'P 1'
_cell_length_a 7.860
_cell_length_b 4.536
_cell_length_c 7.867
_cell_angle_alpha 90.00
_cell_angle_beta 109.43
_cell_angle_gamma 90.00
loop_
_atom_site_label
_atom_site_fract_x
_atom_site_fract_y
_atom_site_fract_z
La1 0.000 0.000 0.000
Ce1 0.000 0.500 0.500
Ce2 0.500 0.000 0.500
Nd1 0.500 0.500 0.000
Sb1 0.251 0.000 0.745
Sb2 0.254 0.500 0.256
Sb3 0.746 0.500 0.744
Sb4 0.749 0.000 0.255
```



6.
Here is an optimized crystal structure of K2AgPt from Alexandria via LeMat-Bulk. Energies are from PBE.

Results
**ρ**: 5.61 g/cm³
**V**: 112.79 Å³ per cell
**Space-group type**: Pmmm
**Density of states at the Fermi level**: 0.641 states/eV per atom
**Calculated total energy**: -2.607 eV/atom

The structure in CIF format:
```
data_K2AgPt
_chemical_formula_sum 'K2 Ag1 Pt1'
_space_group_name_H-M_alt 'P 1'
_space_group_IT_number 1
_space_group_name_Hall 'P 1'
_cell_length_a 2.924
_cell_length_b 4.404
_cell_length_c 8.758
_cell_angle_alpha 90.00
_cell_angle_beta 90.00
_cell_angle_gamma 90.00
loop_
_atom_site_label
_atom_site_fract_x
_atom_site_fract_y
_atom_site_fract_z
K1 0.000 0.000 0.219
K2 0.000 0.000 0.781
Ag1 0.500 0.500 0.500
Pt1 0.500 0.500 0.000
```



ρ of number 5 (LaCe2NdSb4)?
6.59 g/cm³



The lowest calculated total energy belongs to which entry?
LaCe2NdSb4



Among the records above, which one has the highest V?
Sr3Zn6Pd5



Which formula does entry 1 have?
La8Dy2Tm3